First-principles (PBE-GGA) data for an optimized crystal structure of Ca3Ga9Hg2, as listed in the Alexandria database.

space group: Immm, No. 71
formation enthalpy at 0 K: -4.82 eV/f.u.
total DFT energy (no corrections): -2.762 eV per atom
spin magnetization: 0.00 μB per formula unit

Lattice parameters (Å, degrees): 8.6833 8.6833 8.6833 150.59 108.24 79.39
Closest atoms and distances in Å follow each position.
Fractional coordinates of all 14 atoms:
Ca 0.0000 0.0000 0.0000  12 Ga 3.35-3.42
Ca 0.3128 0.3128 0.0000  2 Hg 3.22, 12 Ga 3.24-3.46
Ca 0.6872 0.6872 0.0000  2 Hg 3.22, 12 Ga 3.24-3.46
Ga 0.0384 0.6631 0.3753  4 Ga 2.54-2.67, 1 Hg 2.82
Ga 0.1144 0.8458 0.2686  3 Ga 2.65-2.67
Ga 0.2878 0.6631 0.6247  4 Ga 2.54-2.67, 1 Hg 2.82
Ga 0.4229 0.1542 0.2686  3 Ga 2.65-2.67
Ga 0.5000 0.0000 0.5000  4 Hg 2.99, 4 Ga 3.13, 4 Ca 3.33
Ga 0.5771 0.8458 0.7314  3 Ga 2.65-2.67
Ga 0.7122 0.3369 0.3753  4 Ga 2.54-2.67, 1 Hg 2.82
Ga 0.8856 0.1542 0.7314  3 Ga 2.65-2.67
Ga 0.9616 0.3369 0.6247  4 Ga 2.54-2.67, 1 Hg 2.82
Hg 0.3011 0.5000 0.8011  8 Ga 2.82-3.04
Hg 0.6989 0.5000 0.1989  8 Ga 2.82-3.04